Tm2TlPd8, relaxed, DFT PBE; N(E_F) = 4.7 states/eV/f.u.; E = -59.27 eV/f.u.; volume = 194.27 Å³ per cell; energy of formation = -0.5837 eV per atom
1.0
7.354 -2.095 0.000
7.354 2.095 0.000
-1.856 0.000 6.305
Tm Tl Pd
2 1 8
direct
0.216 0.216 0.166
0.784 0.784 0.834
0.500 0.500 0.500
0.037 0.037 0.222
0.147 0.147 0.694
0.326 0.326 0.593
0.407 0.407 0.047
0.593 0.593 0.953
0.674 0.674 0.407
0.853 0.853 0.306
0.963 0.963 0.778

=====

Tm4Tl2Pd, relaxed, DFT PBE; N(E_F) = 5.2 states/eV/f.u.; E = -29.73 eV/f.u.; volume = 200.73 Å³ per cell; energy of formation = -0.2746 eV per atom
1.0
6.795 0.000 0.000
0.000 3.697 0.000
-2.548 0.000 7.990
Tm Tl Pd
4 2 1
direct
0.086 0.000 0.296
0.365 0.500 0.682
0.635 0.500 0.318
0.914 0.000 0.704
0.234 0.500 0.005
0.766 0.500 0.995
0.500 0.000 0.500

=====

- energy of formation of number 2 (Tm4Tl2Pd)?
  -0.2746 eV per atom